[1]
KBiCl4 | Alexandria | PBE | relaxed; DOS at the Fermi energy = 0.00 states/eV per atom; E_form (uncorrected) = -1349 meV per atom; excess energy over the best structure of this formula in the dataset = 0.000 eV/atom; magnetic moment = 0.00 μB per cell; SG = C2/c (15)
1.0
6.518 1.599 -2.944
0.014 7.405 -3.650
-0.810 -0.847 10.721
Cl Bi K
8 2 2
Direct
0.371 0.044 0.656
0.536 0.253 0.111
0.464 0.747 0.889
0.629 0.956 0.344
0.786 0.612 0.656
0.925 0.142 0.889
0.075 0.858 0.111
0.214 0.388 0.344
0.684 0.934 0.869
0.316 0.066 0.131
0.426 0.676 0.353
0.574 0.324 0.647



[2]
K5BiCl8 | Alexandria | PBE | relaxed; DOS at the Fermi energy = 0.00 states/eV per atom; E_form (uncorrected) = -1658 meV per atom; magnetic moment = 0.00 μB per cell; SG = I-4 (82)
1.0
7.646 0.189 -2.597
-3.873 6.595 -2.597
-0.105 -0.189 8.074
K Cl Bi
5 8 1
Direct
0.738 0.607 0.618
0.500 0.500 0.000
0.393 0.011 0.131
0.989 0.120 0.382
0.880 0.262 0.869
0.142 0.538 0.735
0.252 0.400 0.276
0.593 0.858 0.396
0.600 0.877 0.853
0.123 0.976 0.724
0.024 0.748 0.147
0.804 0.407 0.265
0.462 0.196 0.604
0.250 0.750 0.500



[3]
KBi2Cl8 | Alexandria | PBE | relaxed; DOS at the Fermi energy = 0.13 states/eV per atom; E_form (uncorrected) = -1031 meV per atom; excess energy over the best structure of this formula in the dataset = 0.000 eV/atom; magnetic moment = 0.00 μB per cell; SG = Cmmm (65)
1.0
5.314 0.302 0.454
-0.450 8.095 -0.183
-0.450 -3.287 7.400
Cl K Bi
8 1 2
Direct
0.999 0.677 0.946
0.999 0.946 0.677
0.500 0.751 0.249
0.500 0.249 0.751
0.746 0.500 0.500
0.001 0.323 0.054
0.001 0.054 0.323
0.254 0.500 0.500
0.500 0.000 0.000
0.000 0.296 0.704
0.000 0.704 0.296



[4]
K2Bi2Cl | Alexandria | PBE | relaxed; DOS at the Fermi energy = 0.31 states/eV per atom; E_form (uncorrected) = -808 meV per atom; excess energy over the best structure of this formula in the dataset = 0.000 eV/atom; magnetic moment = 0.00 μB per cell; SG = I4/mmm (139)
1.0
-2.246 1.982 -3.284
-0.834 -3.967 -1.824
-9.782 -1.663 2.678
Cl K Bi
1 2 2
Direct
0.000 0.000 0.000
0.592 0.592 0.816
0.408 0.408 0.184
0.250 0.750 0.500
0.750 0.250 0.500



- Which value of magnetic moment does entry 2 give?
  0.00 μB per cell